## RbMgIO2 (GGA-PBE)

Data for an optimized crystal structure of RbMgIO2.

Lattice parameters (Å, degrees): 4.5299 4.5299 6.6703 90.00 90.00 90.00
Site moments in Bohr magnetons follow the coordinates.
Positions (direct):
1 I 0.0000 0.0000 0.5000  0.00
2 Mg 0.5000 0.5000 0.5000  0.00
3 O 0.0000 0.5000 0.0000  0.27
4 O 0.5000 0.0000 0.0000  0.27
5 Rb 0.0000 0.0000 0.0000  -0.01

Summary:
Energy in eV per atom: -2.462
Raw formation energy in meV/atom: 344
N(E_F) in states/eV per cell: 2.5
Magnetic moment in μB per atom: 0.127
Calculated density in g/cm3: 3.259